(1)
A plane-wave DFT calculation with PBE was carried out for a relaxed Pm6SmDy3Th2 crystal.

Computed properties:
Formation enthalpy at 0 K = 38 meV per atom
Space group = C2/m (12)

a b c (Å): 6.2512 6.2512 11.9890
angles (deg): 95.00 95.00 119.93
Positions (direct):
Pm: 0.0793 0.4169 0.7515
Pm: 0.2455 0.2455 0.2490
Pm: 0.4169 0.0793 0.7515
Pm: 0.5831 0.9207 0.2485
Pm: 0.7545 0.7545 0.7510
Pm: 0.9207 0.5831 0.2485
Sm: 0.5000 0.5000 0.0000
Dy: 0.0000 0.0000 0.5000
Dy: 0.3333 0.6667 0.5000
Dy: 0.6667 0.3333 0.5000
Th: 0.1666 0.8334 0.0000
Th: 0.8334 0.1666 0.0000

(2)
A plane-wave DFT calculation with PBE was carried out for a relaxed Pm3Sm6Dy2Th crystal.

Computed properties:
Formation enthalpy at 0 K = 26 meV per atom
Space group = C2/m (12)

a b c (Å): 6.2562 6.2562 12.0252
angles (deg): 94.98 94.98 119.91
Positions (direct):
Pm: 0.0000 0.0000 0.0000
Pm: 0.3332 0.6668 0.0000
Pm: 0.6668 0.3332 0.0000
Sm: 0.0873 0.4173 0.2534
Sm: 0.2527 0.2527 0.7466
Sm: 0.4173 0.0873 0.2534
Sm: 0.5827 0.9127 0.7466
Sm: 0.7473 0.7473 0.2534
Sm: 0.9127 0.5827 0.7466
Dy: 0.1666 0.8334 0.5000
Dy: 0.8334 0.1666 0.5000
Th: 0.5000 0.5000 0.5000

(3)
A plane-wave DFT calculation with PBE was carried out for a relaxed Pm3Sm6DyTh2 crystal.

Computed properties:
Formation enthalpy at 0 K = 29 meV per atom
Space group = C2/m (12)

a b c (Å): 6.2603 6.2603 12.0197
angles (deg): 94.99 94.99 119.92
Positions (direct):
Pm: 0.0000 0.0000 0.0000
Pm: 0.3333 0.6667 0.0000
Pm: 0.6667 0.3333 0.0000
Sm: 0.0814 0.4183 0.2549
Sm: 0.2447 0.2447 0.7454
Sm: 0.4183 0.0814 0.2549
Sm: 0.5817 0.9186 0.7451
Sm: 0.7553 0.7553 0.2546
Sm: 0.9186 0.5817 0.7451
Dy: 0.5000 0.5000 0.5000
Th: 0.1666 0.8334 0.5000
Th: 0.8334 0.1666 0.5000

(4)
A plane-wave DFT calculation with PBE was carried out for a relaxed PmSmDy5Th2 crystal.

Computed properties:
Formation enthalpy at 0 K = 325 meV per atom
Space group = I4/mcm (140)

a b c (Å): 9.9017 9.9017 9.9017
angles (deg): 126.91 126.91 78.39
Positions (direct):
Pm: 0.2500 0.2500 0.0000
Pm: 0.7500 0.7500 0.0000
Sm: 0.2500 0.7500 0.5000
Sm: 0.7500 0.2500 0.5000
Dy: 0.0000 0.0000 0.0000
Dy: 0.0697 0.5697 0.9149
Dy: 0.1548 0.0697 0.5000
Dy: 0.3452 0.8452 0.9149
Dy: 0.4303 0.3452 0.5000
Dy: 0.5000 0.5000 0.0000
Dy: 0.5697 0.6548 0.5000
Dy: 0.6548 0.1548 0.0851
Dy: 0.8452 0.9303 0.5000
Dy: 0.9303 0.4303 0.0851
Th: 0.1188 0.3812 0.5000
Th: 0.3812 0.8812 0.2623
Th: 0.6188 0.1188 0.7377
Th: 0.8812 0.6188 0.5000

(5)
A plane-wave DFT calculation with PBE was carried out for a relaxed PmSmDyTh crystal.

Computed properties:
Energy above the most stable polymorph in this dataset = 149 meV per atom
Formation enthalpy at 0 K = 175 meV per atom
Space group = F-43m (216)

a b c (Å): 8.0891 8.0891 8.0891
angles (deg): 90.00 90.00 90.00
Positions (direct):
Pm: 0.0000 0.0000 0.0000
Pm: 0.0000 0.5000 0.5000
Pm: 0.5000 0.0000 0.5000
Pm: 0.5000 0.5000 0.0000
Sm: 0.2500 0.2500 0.2500
Sm: 0.2500 0.7500 0.7500
Sm: 0.7500 0.2500 0.7500
Sm: 0.7500 0.7500 0.2500
Dy: 0.0000 0.0000 0.5000
Dy: 0.0000 0.5000 0.0000
Dy: 0.5000 0.0000 0.0000
Dy: 0.5000 0.5000 0.5000
Th: 0.2500 0.2500 0.7500
Th: 0.2500 0.7500 0.2500
Th: 0.7500 0.2500 0.2500
Th: 0.7500 0.7500 0.7500

(6)
A plane-wave DFT calculation with PBE was carried out for a relaxed PmSmDyTl crystal.

Computed properties:
Energy above the most stable polymorph in this dataset = 167 meV per atom
Formation enthalpy at 0 K = -24 meV per atom
Space group = F-43m (216)

a b c (Å): 7.8297 7.8297 7.8297
angles (deg): 90.00 90.00 90.00
Positions (direct):
Pm: 0.0000 0.0000 0.0000
Pm: 0.0000 0.5000 0.5000
Pm: 0.5000 0.0000 0.5000
Pm: 0.5000 0.5000 0.0000
Sm: 0.2500 0.2500 0.2500
Sm: 0.2500 0.7500 0.7500
Sm: 0.7500 0.2500 0.7500
Sm: 0.7500 0.7500 0.2500
Dy: 0.2500 0.2500 0.7500
Dy: 0.2500 0.7500 0.2500
Dy: 0.7500 0.2500 0.2500
Dy: 0.7500 0.7500 0.7500
Tl: 0.0000 0.0000 0.5000
Tl: 0.0000 0.5000 0.0000
Tl: 0.5000 0.0000 0.0000
Tl: 0.5000 0.5000 0.5000

(7)
A plane-wave DFT calculation with PBE was carried out for a relaxed Pm3Sm6Dy2Tl crystal.

Computed properties:
Formation enthalpy at 0 K = -12 meV per atom
Space group = C2/m (12)

a b c (Å): 6.2335 6.2335 11.8172
angles (deg): 95.12 95.12 120.17
Positions (direct):
Pm: 0.0000 0.0000 0.0000
Pm: 0.3317 0.6683 0.0000
Pm: 0.6683 0.3317 0.0000
Sm: 0.0922 0.4196 0.2558
Sm: 0.2535 0.2535 0.7465
Sm: 0.4196 0.0922 0.2558
Sm: 0.5804 0.9078 0.7442
Sm: 0.7465 0.7465 0.2535
Sm: 0.9078 0.5804 0.7442
Dy: 0.1657 0.8343 0.5000
Dy: 0.8343 0.1657 0.5000
Tl: 0.5000 0.5000 0.5000

(8)
A plane-wave DFT calculation with PBE was carried out for a relaxed PmSmDyTl crystal.

Computed properties:
Energy above the most stable polymorph in this dataset = 0 meV per atom
Formation enthalpy at 0 K = -192 meV per atom
Space group = Pmmm (47)

a b c (Å): 4.8859 4.8982 4.9723
angles (deg): 90.00 90.00 90.00
Positions (direct):
Pm: 0.0000 0.0000 0.0000
Sm: 0.5000 0.5000 0.0000
Dy: 0.5000 0.0000 0.5000
Tl: 0.0000 0.5000 0.5000

(9)
A plane-wave DFT calculation with PBE was carried out for a relaxed Pm2SmDyTl4 crystal.

Computed properties:
Formation enthalpy at 0 K = -371 meV per atom
Space group = R-3m (166)

a b c (Å): 9.4522 9.4522 9.4522
angles (deg): 33.51 33.51 33.51
Positions (direct):
Pm: 0.2504 0.2504 0.2504
Pm: 0.7496 0.7496 0.7496
Sm: 0.5000 0.5000 0.5000
Dy: 0.0000 0.0000 0.0000
Tl: 0.1242 0.1242 0.1242
Tl: 0.3743 0.3743 0.3743
Tl: 0.6257 0.6257 0.6257
Tl: 0.8758 0.8758 0.8758

(10)
A plane-wave DFT calculation with PBE was carried out for a relaxed PmSmDy2Tl2 crystal.

Computed properties:
Formation enthalpy at 0 K = -270 meV per atom
Space group = Pmc2_1 (26)

a b c (Å): 5.1565 10.1432 6.8361
angles (deg): 90.00 90.00 90.00
Positions (direct):
Pm: 0.0000 0.0412 0.0000
Pm: 0.0000 0.9588 0.5000
Sm: 0.5000 0.1875 0.7269
Sm: 0.5000 0.8125 0.2269
Dy: 0.0000 0.3171 0.3716
Dy: 0.0000 0.6829 0.8716
Dy: 0.5000 0.4590 0.0918
Dy: 0.5000 0.5410 0.5918
Tl: 0.0000 0.3703 0.8380
Tl: 0.0000 0.6297 0.3380
Tl: 0.5000 0.1419 0.2567
Tl: 0.5000 0.8581 0.7567

(11)
A plane-wave DFT calculation with PBE was carried out for a relaxed Pm3Sm2Dy6Tl crystal.

Computed properties:
Formation enthalpy at 0 K = -24 meV per atom
Space group = C2/m (12)

a b c (Å): 6.1486 6.1486 11.7737
angles (deg): 95.03 95.03 120.04
Positions (direct):
Pm: 0.0000 0.0000 0.0000
Pm: 0.3327 0.6673 0.0000
Pm: 0.6673 0.3327 0.0000
Sm: 0.1662 0.8338 0.5000
Sm: 0.8338 0.1662 0.5000
Dy: 0.0908 0.4185 0.2537
Dy: 0.2539 0.2539 0.7476
Dy: 0.4185 0.0908 0.2537
Dy: 0.5815 0.9092 0.7463
Dy: 0.7461 0.7461 0.2524
Dy: 0.9092 0.5815 0.7463
Tl: 0.5000 0.5000 0.5000

(12)
A plane-wave DFT calculation with PBE was carried out for a relaxed PmSm2DyTl2 crystal.

Computed properties:
Formation enthalpy at 0 K = -272 meV per atom
Space group = Pmc2_1 (26)

a b c (Å): 5.1891 10.1640 6.8919
angles (deg): 90.00 90.00 90.00
Positions (direct):
Pm: 0.0000 0.0430 0.0000
Pm: 0.0000 0.9570 0.5000
Sm: 0.0000 0.3169 0.3700
Sm: 0.0000 0.6831 0.8700
Sm: 0.5000 0.4557 0.0922
Sm: 0.5000 0.5443 0.5922
Dy: 0.5000 0.1874 0.7206
Dy: 0.5000 0.8126 0.2206
Tl: 0.0000 0.3605 0.8363
Tl: 0.0000 0.6395 0.3363
Tl: 0.5000 0.1316 0.2600
Tl: 0.5000 0.8684 0.7600

(13)
A plane-wave DFT calculation with PBE was carried out for a relaxed PmSm2Dy3Tm6 crystal.

Computed properties:
Formation enthalpy at 0 K = 21 meV per atom
Space group = C2/m (12)

a b c (Å): 6.1330 6.1330 11.6647
angles (deg): 95.02 95.02 119.96
Positions (direct):
Pm: 0.0000 0.0000 0.0000
Sm: 0.3333 0.6667 0.0000
Sm: 0.6667 0.3333 0.0000
Dy: 0.1667 0.8333 0.5000
Dy: 0.5000 0.5000 0.5000
Dy: 0.8333 0.1667 0.5000
Tm: 0.0849 0.4183 0.2523
Tm: 0.2485 0.2485 0.7477
Tm: 0.4183 0.0849 0.2523
Tm: 0.5817 0.9151 0.7477
Tm: 0.7515 0.7515 0.2523
Tm: 0.9151 0.5817 0.7477

(14)
A plane-wave DFT calculation with PBE was carried out for a relaxed Pm6Sm2Dy3Tm crystal.

Computed properties:
Formation enthalpy at 0 K = 13 meV per atom
Space group = C2/m (12)

a b c (Å): 6.2526 6.2526 11.9063
angles (deg): 95.01 95.01 119.99
Positions (direct):
Pm: 0.0838 0.4161 0.7511
Pm: 0.2487 0.2487 0.2485
Pm: 0.4161 0.0838 0.7511
Pm: 0.5839 0.9162 0.2489
Pm: 0.7513 0.7513 0.7515
Pm: 0.9162 0.5839 0.2489
Sm: 0.3333 0.6667 0.5000
Sm: 0.6667 0.3333 0.5000
Dy: 0.1664 0.8336 0.0000
Dy: 0.5000 0.5000 0.0000
Dy: 0.8336 0.1664 0.0000
Tm: 0.0000 0.0000 0.5000

(15)
A plane-wave DFT calculation with PBE was carried out for a relaxed Pm3Sm6Dy2Tm crystal.

Computed properties:
Formation enthalpy at 0 K = 16 meV per atom
Space group = C2/m (12)

a b c (Å): 6.2528 6.2528 11.9422
angles (deg): 95.00 95.00 119.99
Positions (direct):
Pm: 0.0000 0.0000 0.0000
Pm: 0.3334 0.6666 0.0000
Pm: 0.6666 0.3334 0.0000
Sm: 0.0847 0.4176 0.2536
Sm: 0.2495 0.2495 0.7466
Sm: 0.4176 0.0847 0.2536
Sm: 0.5824 0.9153 0.7464
Sm: 0.7505 0.7505 0.2534
Sm: 0.9153 0.5824 0.7464
Dy: 0.1666 0.8334 0.5000
Dy: 0.8334 0.1666 0.5000
Tm: 0.5000 0.5000 0.5000

(16)
A plane-wave DFT calculation with PBE was carried out for a relaxed Pm3SmDyTm crystal.

Computed properties:
Formation enthalpy at 0 K = 21 meV per atom
Space group = P2_1/m (11)

a b c (Å): 8.0396 5.1065 10.1845
angles (deg): 90.00 108.54 90.00
Positions (direct):
Pm: 0.1691 0.2500 0.0427
Pm: 0.1700 0.2500 0.5418
Pm: 0.1696 0.7500 0.7917
Pm: 0.8304 0.2500 0.2083
Pm: 0.8300 0.7500 0.4582
Pm: 0.8309 0.7500 0.9573
Sm: 0.1700 0.7500 0.2929
Sm: 0.8300 0.2500 0.7071
Dy: 0.5005 0.2500 0.8743
Dy: 0.4995 0.7500 0.1257
Tm: 0.4997 0.2500 0.3759
Tm: 0.5003 0.7500 0.6241

(17)
A plane-wave DFT calculation with PBE was carried out for a relaxed PmSmDy6Tm2 crystal.

Computed properties:
Formation enthalpy at 0 K = 123 meV per atom
Space group = C2/c (15)

a b c (Å): 8.7584 8.7584 9.4943
angles (deg): 93.48 93.48 117.12
Positions (direct):
Pm: 0.0294 0.9706 0.7500
Pm: 0.9706 0.0294 0.2500
Sm: 0.4085 0.5915 0.2500
Sm: 0.5915 0.4085 0.7500
Dy: 0.0185 0.5640 0.6808
Dy: 0.1174 0.7542 0.0566
Dy: 0.2458 0.8826 0.4434
Dy: 0.2933 0.5128 0.8824
Dy: 0.4360 0.9815 0.8192
Dy: 0.4872 0.7067 0.6176
Dy: 0.5128 0.2933 0.3824
Dy: 0.5640 0.0185 0.1808
Dy: 0.7067 0.4872 0.1176
Dy: 0.7542 0.1174 0.5566
Dy: 0.8826 0.2458 0.9434
Dy: 0.9815 0.4360 0.3192
Tm: 0.1977 0.3005 0.5479
Tm: 0.3005 0.1977 0.0479
Tm: 0.6995 0.8023 0.9521
Tm: 0.8023 0.6995 0.4521

(18)
A plane-wave DFT calculation with PBE was carried out for a relaxed Pm6SmDy2Tm crystal.

Computed properties:
Formation enthalpy at 0 K = 116 meV per atom
Space group = C2/c (15)

a b c (Å): 8.9231 8.9231 9.6200
angles (deg): 93.67 93.67 117.70
Positions (direct):
Pm: 0.0103 0.5645 0.1872
Pm: 0.1199 0.7590 0.5548
Pm: 0.2410 0.8801 0.9452
Pm: 0.2914 0.5097 0.3820
Pm: 0.4355 0.9897 0.3128
Pm: 0.4903 0.7086 0.1180
Pm: 0.5097 0.2914 0.8820
Pm: 0.5645 0.0103 0.6872
Pm: 0.7086 0.4903 0.6180
Pm: 0.7590 0.1199 0.0548
Pm: 0.8801 0.2410 0.4452
Pm: 0.9897 0.4355 0.8128
Sm: 0.0263 0.9737 0.2500
Sm: 0.9737 0.0263 0.7500
Dy: 0.2020 0.3024 0.0461
Dy: 0.3024 0.2020 0.5461
Dy: 0.6976 0.7980 0.4539
Dy: 0.7980 0.6976 0.9539
Tm: 0.4113 0.5887 0.7500
Tm: 0.5887 0.4113 0.2500

(19)
A plane-wave DFT calculation with PBE was carried out for a relaxed PmSm4DyTm2 crystal.

Computed properties:
Formation enthalpy at 0 K = 17 meV per atom
Space group = Pmmm (47)

a b c (Å): 5.0703 5.0869 10.0885
angles (deg): 90.00 90.00 90.00
Positions (direct):
Pm: 0.0000 0.0000 0.0000
Sm: 0.0000 0.5000 0.2513
Sm: 0.0000 0.5000 0.7487
Sm: 0.5000 0.0000 0.2520
Sm: 0.5000 0.0000 0.7480
Dy: 0.5000 0.5000 0.5000
Tm: 0.0000 0.0000 0.5000
Tm: 0.5000 0.5000 0.0000

(20)
A plane-wave DFT calculation with PBE was carried out for a relaxed PmSm2Dy4Tm2 crystal.

Computed properties:
Formation enthalpy at 0 K = 7 meV per atom
Space group = C2/m (12)

a b c (Å): 9.4840 9.4840 9.5446
angles (deg): 115.17 115.17 21.86
Positions (direct):
Pm: 0.0000 0.0000 0.0000
Sm: 0.1480 0.1480 0.6670
Sm: 0.8520 0.8520 0.3330
Dy: 0.1851 0.1851 0.3334
Dy: 0.4812 0.4812 0.6672
Dy: 0.5188 0.5188 0.3328
Dy: 0.8149 0.8149 0.6666
Tm: 0.3322 0.3322 0.9981
Tm: 0.6678 0.6678 0.0019

| no. | VASP energy (eV/atom) |
| --- | --- |
| 1 | -5.12 |
| 2 | -4.91 |
| 3 | -5.14 |
| 4 | -4.93 |
| 5 | -5.20 |
| 6 | -4.13 |
| 7 | -4.52 |
| 8 | -4.30 |
| 9 | -3.91 |
| 10 | -4.17 |
| 11 | -4.50 |
| 12 | -4.19 |
| 13 | -4.55 |
| 14 | -4.67 |
| 15 | -4.67 |
| 16 | -4.65 |
| 17 | -4.48 |
| 18 | -4.57 |
| 19 | -4.63 |
| 20 | -4.61 |